[1]
This record from Alexandria via LeMat-Bulk describes KOs2PdPb after structural relaxation. The functional is PBE-GGA.

Unit cell a=4.832 b=4.832 c=5.365 alpha=90.00 beta=90.00 gamma=90.00
Positions (direct):
K 0.000 0.000 0.000
Os 0.000 0.500 0.500
Os 0.500 0.000 0.500
Pd 0.000 0.000 0.500
Pb 0.500 0.500 0.000

Values from the calculation:
As for the space group: No. 123. Its density of states at the Fermi level is 6.14 states/eV/f.u. As for the formation energy: 1.816 eV per atom. The total DFT energy (no corrections) is -0.3437 Ry/atom.

=====

[2]
This record from Alexandria via LeMat-Bulk describes Pr2DyGe after structural relaxation. The functional is PBE-GGA.

Unit cell a=10.269 b=10.269 c=10.269 alpha=21.71 beta=21.71 gamma=21.71
Positions (direct):
Pr 0.233 0.233 0.233
Pr 0.767 0.767 0.767
Dy 0.000 0.000 0.000
Ge 0.500 0.500 0.500

Values from the calculation:
As for the space group: No. 166. Its density of states at the Fermi level is 7.23 states/eV/f.u. As for the formation energy: -0.159 eV per atom. The total DFT energy (no corrections) is -0.3567 Ry/atom.